VASP calculation (GGA-PBE) on a relaxed structure of TlCu2PO6.

total moment = 3.5 Bohr magnetons per cell
energy = -113.10 eV for the cell shown
space-group type = C2/c, No. 15
E_form (uncorrected) = -1.0834 eV per atom

abc: 7.0552 6.7564 6.7564
angles: 62.34 69.41 69.41
Site moments in Bohr magnetons follow the coordinates.
Positions (direct):
O 0.8471 0.2206 0.4079  0.18
O 0.9436 0.6565 0.2669  0.05
O 0.7647 0.8571 0.9252  0.06
O 0.4436 0.2669 0.6565  0.05
O 0.2353 0.1429 0.0748  0.06
O 0.6529 0.5921 0.7794  0.18
O 0.5564 0.7331 0.3435  0.05
O 0.2647 0.9252 0.8571  0.06
O 0.3471 0.4079 0.2206  0.18
O 0.7353 0.0748 0.1429  0.06
O 0.0564 0.3435 0.7331  0.05
O 0.1529 0.7794 0.5921  0.18
Tl 0.7500 0.2783 0.7217  0.00
Tl 0.2500 0.7217 0.2783  0.00
P 0.2500 0.1719 0.8281  0.01
P 0.7500 0.8281 0.1719  0.01
Cu 0.4080 0.7538 0.6544  0.54
Cu 0.9080 0.6544 0.7538  0.54
Cu 0.0920 0.3456 0.2462  0.54
Cu 0.5920 0.2462 0.3456  0.54